Record 1
Density functional theory data (PBEsol) for a relaxed AgPb2 crystal. Values from VASP.

Computed properties:
* ΔE_f: 0.11 eV per atom

Cell and atoms, written as Quantum ESPRESSO input:
```
&SYSTEM
  ibrav = 0, nat = 3, ntyp = 2
/
ATOMIC_SPECIES
Pb 207.20 Pb.upf
Ag 107.87 Ag.upf
CELL_PARAMETERS angstrom
-1.5642 3.1126 0.3041
-0.4805 -2.4453 2.4530
5.6848 2.5041 3.6099
ATOMIC_POSITIONS crystal
Pb 0.6667 0.3333 0.3082
Pb 0.3333 0.6667 0.6918
Ag 0.0000 0.0000 0.0000
```

---

Record 2
Density functional theory data (PBEsol) for a relaxed YPSe2 crystal. Values from VASP.

Computed properties:
* formation energy from raw total energies: -2.56 eV/f.u.

Cell and atoms, written as Quantum ESPRESSO input:
```
&SYSTEM
  ibrav = 0, nat = 4, ntyp = 3
/
ATOMIC_SPECIES
P 30.97 P.upf
Se 78.96 Se.upf
Y 88.91 Y.upf
CELL_PARAMETERS angstrom
4.0305 0.0000 0.0000
0.0000 4.0305 0.0000
-2.0152 -2.0152 4.8772
ATOMIC_POSITIONS crystal
P 0.0000 0.0000 0.0000
Se 0.7500 0.2500 0.5000
Se 0.2500 0.7500 0.5000
Y 0.5000 0.5000 0.0000
```

---

Record 3
Density functional theory data (PBEsol) for a relaxed AlCu3 crystal. Values from VASP.

Computed properties:
* ΔE_f: -0.14 eV per atom

Cell and atoms, written as Quantum ESPRESSO input:
```
&SYSTEM
  ibrav = 0, nat = 8, ntyp = 2
/
ATOMIC_SPECIES
Al 26.98 Al.upf
Cu 63.55 Cu.upf
CELL_PARAMETERS angstrom
-2.7857 -3.4331 1.2429
1.4978 0.3513 4.3272
-3.3298 3.0301 0.9066
ATOMIC_POSITIONS crystal
Al 0.0000 0.0000 0.0000
Al 0.5000 0.5000 0.5000
Cu 0.7500 0.5000 0.0000
Cu 0.2500 0.5000 0.0000
Cu 0.0000 0.7500 0.5000
Cu 0.0000 0.2500 0.5000
Cu 0.5000 0.0000 0.2500
Cu 0.5000 0.0000 0.7500
```

---

Record 4
Density functional theory data (PBEsol) for a relaxed SiSbRh2 crystal. Values from VASP.

Computed properties:
* formation energy from raw total energies: -1.05 eV/f.u.
* energy above the lowest structure with this stoichiometry: 0.0000 eV/atom

Cell and atoms, written as Quantum ESPRESSO input:
```
&SYSTEM
  ibrav = 0, nat = 4, ntyp = 3
/
ATOMIC_SPECIES
Rh 102.91 Rh.upf
Sb 121.76 Sb.upf
Si 28.09 Si.upf
CELL_PARAMETERS angstrom
-0.3884 -3.5932 -2.5111
3.5406 -2.4594 -0.8848
0.4088 -3.9959 1.7982
ATOMIC_POSITIONS crystal
Rh 0.2500 0.2500 0.2500
Rh 0.7500 0.7500 0.7500
Sb 0.5000 0.5000 0.5000
Si 0.0000 0.0000 0.0000
```

---

Record 5
Density functional theory data (PBEsol) for a relaxed Be2CdPb crystal. Values from VASP.

Computed properties:
* energy above the lowest structure with this stoichiometry: 0.0992 eV/atom
* ΔE_f: 0.73 eV per atom

Cell and atoms, written as Quantum ESPRESSO input:
```
&SYSTEM
  ibrav = 0, nat = 4, ntyp = 3
/
ATOMIC_SPECIES
Pb 207.20 Pb.upf
Be 9.01 Be.upf
Cd 112.41 Cd.upf
CELL_PARAMETERS angstrom
-0.6752 -4.0178 -2.1808
3.4739 -1.9874 -2.3101
1.9424 -3.8656 1.6245
ATOMIC_POSITIONS crystal
Pb 0.5000 0.5000 0.5000
Be 0.2500 0.2500 0.2500
Be 0.7500 0.7500 0.7500
Cd 0.0000 0.0000 0.0000
```

---

Record 6
Density functional theory data (PBEsol) for a relaxed Bi3Te4Cl5O10 crystal. Values from VASP.

Computed properties:
* formation energy from raw total energies: -24.19 eV/f.u.

Cell and atoms, written as Quantum ESPRESSO input:
```
&SYSTEM
  ibrav = 0, nat = 22, ntyp = 4
/
ATOMIC_SPECIES
Bi 208.98 Bi.upf
Te 127.60 Te.upf
Cl 35.45 Cl.upf
O 16.00 O.upf
CELL_PARAMETERS angstrom
-3.6105 -0.2072 -1.8376
5.2647 -0.2595 -5.8374
-0.3867 -12.9461 2.2197
ATOMIC_POSITIONS crystal
Bi 0.0000 0.0000 0.0000
Bi 0.2176 0.4353 0.8098
Bi 0.7824 0.5647 0.1902
Te 0.8400 0.6800 0.4949
Te 0.1600 0.3200 0.5051
Te 0.5258 0.0516 0.7704
Te 0.4742 0.9484 0.2296
Cl 0.8445 0.6890 0.7229
Cl 0.1555 0.3110 0.2771
Cl 0.5000 0.0000 0.5000
Cl 0.8227 0.6453 0.9731
Cl 0.1773 0.3547 0.0269
O 0.7070 0.4141 0.4991
O 0.2930 0.5859 0.5009
O 0.8391 0.6782 0.3539
O 0.1609 0.3218 0.6461
O 0.6527 0.3054 0.8063
O 0.3473 0.6946 0.1937
O 0.4852 0.9705 0.9004
O 0.5148 0.0295 0.0996
O 0.9429 0.8858 0.1929
O 0.0571 0.1142 0.8071
```

---

Record 7
Density functional theory data (PBEsol) for a relaxed BeTc2Mo crystal. Values from VASP.

Computed properties:
* ΔE_f: 0.18 eV per atom

Cell and atoms, written as Quantum ESPRESSO input:
```
&SYSTEM
  ibrav = 0, nat = 4, ntyp = 3
/
ATOMIC_SPECIES
Be 9.01 Be.upf
Mo 95.94 Mo.upf
Tc 98.00 Tc.upf
CELL_PARAMETERS angstrom
4.2116 0.0000 0.0000
2.1058 3.6473 0.0000
2.1058 1.2158 3.4387
ATOMIC_POSITIONS crystal
Be 0.5000 0.5000 0.5000
Mo 0.2500 0.2500 0.2500
Tc 0.0000 0.0000 0.0000
Tc 0.7500 0.7500 0.7500
```

---

Record 8
Density functional theory data (PBEsol) for a relaxed BeRe2P crystal. Values from VASP.

Computed properties:
* energy above the lowest structure with this stoichiometry: 0.4277 eV/atom
* ΔE_f: 0.11 eV per atom

Cell and atoms, written as Quantum ESPRESSO input:
```
&SYSTEM
  ibrav = 0, nat = 4, ntyp = 3
/
ATOMIC_SPECIES
Re 186.21 Re.upf
Be 9.01 Be.upf
P 30.97 P.upf
CELL_PARAMETERS angstrom
-2.7140 0.4462 -0.5938
-1.5606 -2.0717 -1.0907
-3.2803 -2.7395 6.2680
ATOMIC_POSITIONS crystal
Re 0.2518 0.2518 0.2447
Re 0.7482 0.7482 0.7553
Be 0.5000 0.5000 0.5000
P 0.0000 0.0000 0.0000
```

---

Record 9
Density functional theory data (PBEsol) for a relaxed NaMoSeBr2 crystal. Values from VASP.

Computed properties:
* formation energy from raw total energies: 3.74 eV/f.u.

Cell and atoms, written as Quantum ESPRESSO input:
```
&SYSTEM
  ibrav = 0, nat = 5, ntyp = 4
/
ATOMIC_SPECIES
Na 22.99 Na.upf
Mo 95.94 Mo.upf
Se 78.96 Se.upf
Br 79.90 Br.upf
CELL_PARAMETERS angstrom
5.0338 0.0000 0.0000
0.0000 5.0338 0.0000
0.0000 0.0000 5.2524
ATOMIC_POSITIONS crystal
Na 0.0000 0.0000 0.0000
Mo 0.5000 0.5000 0.5000
Se 0.0000 0.0000 0.5000
Br 0.0000 0.5000 0.0000
Br 0.5000 0.0000 0.0000
```

---

Record 10
Density functional theory data (PBEsol) for a relaxed Mg2AgOs crystal. Values from VASP.

Computed properties:
* ΔE_f: 0.34 eV per atom

Cell and atoms, written as Quantum ESPRESSO input:
```
&SYSTEM
  ibrav = 0, nat = 4, ntyp = 3
/
ATOMIC_SPECIES
Ag 107.87 Ag.upf
Mg 24.30 Mg.upf
Os 190.23 Os.upf
CELL_PARAMETERS angstrom
2.7791 -0.0242 0.0000
-1.0832 2.5594 0.0000
0.0000 0.0000 9.4217
ATOMIC_POSITIONS crystal
Ag 0.5000 0.5000 0.2539
Mg 0.0000 0.0000 0.0110
Mg 0.5000 0.5000 0.7323
Os 0.0000 0.0000 0.5029
```

---

Record 11
Density functional theory data (PBEsol) for a relaxed Li2CoCO4 crystal. Values from VASP.

Computed properties:
* formation energy from raw total energies: -11.85 eV/f.u.

Cell and atoms, written as Quantum ESPRESSO input:
```
&SYSTEM
  ibrav = 0, nat = 32, ntyp = 4
/
ATOMIC_SPECIES
Li 6.94 Li.upf
Co 58.93 Co.upf
C 12.01 C.upf
O 16.00 O.upf
CELL_PARAMETERS angstrom
-3.4508 0.4885 -3.5213
3.6556 -3.6996 -4.0957
-5.3619 -7.8860 4.1606
ATOMIC_POSITIONS crystal
Li 0.8398 0.8878 0.7122
Li 0.6602 0.8878 0.2122
Li 0.6823 0.7681 0.9336
Li 0.8177 0.7681 0.4336
Li 0.1823 0.2319 0.5664
Li 0.3177 0.2319 0.0664
Li 0.3398 0.1122 0.7878
Li 0.1602 0.1122 0.2878
Co 0.6497 0.4925 0.6648
Co 0.1497 0.5075 0.8352
Co 0.8503 0.4925 0.1648
Co 0.3503 0.5075 0.3352
C 0.3122 0.8061 0.5654
C 0.1878 0.8061 0.0654
C 0.8122 0.1939 0.9346
C 0.6878 0.1939 0.4346
O 0.1872 0.9494 0.6363
O 0.3128 0.9494 0.1363
O 0.5698 0.7774 0.5814
O 0.9302 0.7774 0.0814
O 0.3207 0.6931 0.9783
O 0.8561 0.6432 0.7874
O 0.1793 0.6931 0.4783
O 0.6439 0.6432 0.2874
O 0.3561 0.3568 0.7126
O 0.8207 0.3069 0.5217
O 0.1439 0.3568 0.2126
O 0.6793 0.3069 0.0217
O 0.0698 0.2226 0.9186
O 0.4302 0.2226 0.4186
O 0.6872 0.0506 0.8637
O 0.8128 0.0506 0.3637
```

---

Record 12
Density functional theory data (PBEsol) for a relaxed USi2Ni2 crystal. Values from VASP.

Computed properties:
* formation energy from raw total energies: -3.04 eV/f.u.

Cell and atoms, written as Quantum ESPRESSO input:
```
&SYSTEM
  ibrav = 0, nat = 5, ntyp = 3
/
ATOMIC_SPECIES
Ni 58.69 Ni.upf
Si 28.09 Si.upf
U 238.03 U.upf
CELL_PARAMETERS angstrom
-2.2592 -1.7863 2.6147
3.1658 -1.2016 1.9145
-0.5398 5.4161 0.3402
ATOMIC_POSITIONS crystal
Ni 0.7500 0.2500 0.5000
Ni 0.2500 0.7500 0.5000
Si 0.3766 0.3766 0.7532
Si 0.6234 0.6234 0.2468
U 0.0000 0.0000 0.0000
```

---

Record 13
Density functional theory data (PBEsol) for a relaxed Mg2ScIn crystal. Values from VASP.

Computed properties:
* ΔE_f: -0.19 eV per atom

Cell and atoms, written as Quantum ESPRESSO input:
```
&SYSTEM
  ibrav = 0, nat = 4, ntyp = 3
/
ATOMIC_SPECIES
Sc 44.96 Sc.upf
Mg 24.30 Mg.upf
In 114.82 In.upf
CELL_PARAMETERS angstrom
-2.1667 1.1475 2.0312
2.5124 -1.5973 3.5823
4.0792 4.6497 -0.7878
ATOMIC_POSITIONS crystal
Sc 0.0760 0.0000 0.5286
Mg 0.8202 0.0000 0.0137
Mg 0.4279 0.5000 0.2294
In 0.6760 0.5000 0.7282
```

---

Record 14
Density functional theory data (PBEsol) for a relaxed Rb2SiAs2 crystal. Values from VASP.

Computed properties:
* formation energy from raw total energies: -2.21 eV/f.u.

Cell and atoms, written as Quantum ESPRESSO input:
```
&SYSTEM
  ibrav = 0, nat = 10, ntyp = 3
/
ATOMIC_SPECIES
As 74.92 As.upf
Si 28.09 Si.upf
Rb 85.47 Rb.upf
CELL_PARAMETERS angstrom
-0.2275 -1.6754 6.1517
4.2795 -5.6516 -1.3809
3.5030 7.5420 -1.1246
ATOMIC_POSITIONS crystal
As 0.0981 0.4369 0.1962
As 0.9019 0.5631 0.8038
As 0.5981 0.7592 0.1962
As 0.4019 0.2408 0.8038
Si 0.7500 0.5000 0.0000
Si 0.2500 0.5000 0.0000
Rb 0.8561 0.0215 0.7123
Rb 0.1439 0.9785 0.2877
Rb 0.3561 0.6907 0.7123
Rb 0.6439 0.3093 0.2877
```

---

Record 15
Density functional theory data (PBEsol) for a relaxed SrMn2CoC crystal. Values from VASP.

Computed properties:
* ΔE_f: 1.87 eV per atom

Cell and atoms, written as Quantum ESPRESSO input:
```
&SYSTEM
  ibrav = 0, nat = 5, ntyp = 4
/
ATOMIC_SPECIES
Sr 87.62 Sr.upf
C 12.01 C.upf
Mn 54.94 Mn.upf
Co 58.93 Co.upf
CELL_PARAMETERS angstrom
4.2664 0.0000 0.0000
0.0000 4.2664 0.0000
0.0000 0.0000 5.7776
ATOMIC_POSITIONS crystal
Sr 0.0000 0.0000 0.5000
C 0.5000 0.5000 0.5000
Mn 0.0000 0.5000 0.0000
Mn 0.5000 0.0000 0.0000
Co 0.0000 0.0000 0.0000
```

---

Record 16
Density functional theory data (PBEsol) for a relaxed Cr2RePb crystal. Values from VASP.

Computed properties:
* ΔE_f: 0.75 eV per atom

Cell and atoms, written as Quantum ESPRESSO input:
```
&SYSTEM
  ibrav = 0, nat = 4, ntyp = 3
/
ATOMIC_SPECIES
Cr 52.00 Cr.upf
Pb 207.20 Pb.upf
Re 186.21 Re.upf
CELL_PARAMETERS angstrom
2.9976 0.0000 0.0000
0.0000 4.5471 0.0258
0.0000 -0.9970 4.4365
ATOMIC_POSITIONS crystal
Cr 0.0000 0.5000 0.0000
Cr 0.0000 0.0000 0.5000
Pb 0.5000 0.0000 0.0000
Re 0.5000 0.5000 0.5000
```

---

Record 17
Density functional theory data (PBEsol) for a relaxed Mg2Ta2Au crystal. Values from VASP.

Computed properties:
* ΔE_f: 0.76 eV per atom

Cell and atoms, written as Quantum ESPRESSO input:
```
&SYSTEM
  ibrav = 0, nat = 5, ntyp = 3
/
ATOMIC_SPECIES
Au 196.97 Au.upf
Mg 24.30 Mg.upf
Ta 180.95 Ta.upf
CELL_PARAMETERS angstrom
-2.6349 -1.8349 -1.8521
2.6070 -1.8248 -1.9009
0.0704 -3.3028 6.8811
ATOMIC_POSITIONS crystal
Au 0.0000 0.0000 0.0000
Mg 0.2500 0.7500 0.5000
Mg 0.7500 0.2500 0.5000
Ta 0.5839 0.5839 0.1678
Ta 0.4161 0.4161 0.8322
```

---

Record 18
Density functional theory data (PBEsol) for a relaxed FeTeRuN2 crystal. Values from VASP.

Computed properties:
* formation energy from raw total energies: 4.56 eV/f.u.

Cell and atoms, written as Quantum ESPRESSO input:
```
&SYSTEM
  ibrav = 0, nat = 5, ntyp = 4
/
ATOMIC_SPECIES
Ru 101.07 Ru.upf
Te 127.60 Te.upf
Fe 55.84 Fe.upf
N 14.01 N.upf
CELL_PARAMETERS angstrom
-0.4265 3.0382 2.1361
-3.5418 -0.9798 0.6865
1.6948 -2.9498 4.5340
ATOMIC_POSITIONS crystal
Ru 0.0000 0.0000 0.0000
Te 0.0000 0.0000 0.5000
Fe 0.5000 0.5000 0.5000
N 0.0000 0.5000 0.0000
N 0.5000 0.0000 0.0000
```

---

Record 19
Density functional theory data (PBEsol) for a relaxed Mg3Hg crystal. Values from VASP.

Computed properties:
* ΔE_f: -0.18 eV per atom

Cell and atoms, written as Quantum ESPRESSO input:
```
&SYSTEM
  ibrav = 0, nat = 4, ntyp = 2
/
ATOMIC_SPECIES
Mg 24.30 Mg.upf
Hg 200.59 Hg.upf
CELL_PARAMETERS angstrom
4.3540 0.0000 0.0000
0.0000 4.3540 0.0000
0.0000 0.0000 4.3540
ATOMIC_POSITIONS crystal
Mg 0.0000 0.5000 0.5000
Mg 0.5000 0.0000 0.5000
Mg 0.5000 0.5000 0.0000
Hg 0.0000 0.0000 0.0000
```

---

Record 20
Density functional theory data (PBEsol) for a relaxed ZnIrW2 crystal. Values from VASP.

Computed properties:
* ΔE_f: 0.09 eV per atom

Cell and atoms, written as Quantum ESPRESSO input:
```
&SYSTEM
  ibrav = 0, nat = 4, ntyp = 3
/
ATOMIC_SPECIES
Ir 192.22 Ir.upf
W 183.84 W.upf
Zn 65.41 Zn.upf
CELL_PARAMETERS angstrom
-3.5442 -0.3884 1.0442
0.7175 -3.4595 1.1486
2.3844 3.4021 2.7491
ATOMIC_POSITIONS crystal
Ir 0.0000 0.0000 0.0000
W 0.7500 0.2500 0.5000
W 0.2500 0.7500 0.5000
Zn 0.5000 0.5000 0.0000
```